Entry from Alexandria: a relaxed SnGePb2 crystal (PBE).

Geometry as CIF:
```
data_SnGePb2
_cell_length_a 5.037
_cell_length_b 5.037
_cell_length_c 4.391
_cell_angle_alpha 90.00
_cell_angle_beta 90.00
_cell_angle_gamma 90.00
_symmetry_space_group_name_H-M 'P 4/m m m'
_symmetry_Int_Tables_number 123
_symmetry_space_group_name_Hall '-P 4 2'
loop_
_atom_site_label
_atom_site_type_symbol
_atom_site_fract_x
_atom_site_fract_y
_atom_site_fract_z
Sn1 Sn 0.000 0.000 0.000
Ge1 Ge 0.500 0.500 0.000
Pb1 Pb 0.000 0.500 0.500
```

Calculated formation energy ... 15.3 kJ per mole of atoms
E_tot ... -3.85 eV per atom

***

Entry from Alexandria: a relaxed SnGe2Pb crystal (PBE).

Geometry as CIF:
```
data_SnGe2Pb
_cell_length_a 6.322
_cell_length_b 6.322
_cell_length_c 12.616
_cell_angle_alpha 90.00
_cell_angle_beta 90.00
_cell_angle_gamma 90.00
_symmetry_space_group_name_H-M 'I -4 2 d'
_symmetry_Int_Tables_number 122
_symmetry_space_group_name_Hall 'I -4 2bw'
loop_
_atom_site_label
_atom_site_type_symbol
_atom_site_fract_x
_atom_site_fract_y
_atom_site_fract_z
Sn1 Sn 0.000 0.000 0.000
Ge1 Ge 0.239 0.250 0.125
Pb1 Pb 0.000 0.000 0.500
```

Calculated formation energy ... 14.0 kJ per mole of atoms
E_tot ... -4.09 eV per atom

***

Entry from Alexandria: a relaxed SnGePb2 crystal (PBE).

Geometry as CIF:
```
data_SnGePb2
_cell_length_a 3.587
_cell_length_b 3.587
_cell_length_c 8.613
_cell_angle_alpha 90.00
_cell_angle_beta 90.00
_cell_angle_gamma 90.00
_symmetry_space_group_name_H-M 'P 4/m m m'
_symmetry_Int_Tables_number 123
_symmetry_space_group_name_Hall '-P 4 2'
loop_
_atom_site_label
_atom_site_type_symbol
_atom_site_fract_x
_atom_site_fract_y
_atom_site_fract_z
Sn1 Sn 0.000 0.000 0.000
Ge1 Ge 0.000 0.000 0.500
Pb1 Pb 0.500 0.500 0.274
```

Calculated formation energy ... 13.5 kJ per mole of atoms
E_tot ... -3.87 eV per atom

***

Entry from Alexandria: a relaxed SnGe2Pb crystal (PBE).

Geometry as CIF:
```
data_SnGe2Pb
_cell_length_a 4.1439
_cell_length_b 4.1439
_cell_length_c 20.6498
_cell_angle_alpha 90.00
_cell_angle_beta 90.00
_cell_angle_gamma 120.00
_symmetry_space_group_name_H-M 'R -3 m'
_symmetry_Int_Tables_number 166
_symmetry_space_group_name_Hall '-R 3 2"'
loop_
_atom_site_label
_atom_site_type_symbol
_atom_site_fract_x
_atom_site_fract_y
_atom_site_fract_z
Sn1 Sn 0.0000 0.0000 0.0000
Ge1 Ge 0.0000 0.0000 0.2569
Pb1 Pb 0.0000 0.0000 0.5000
```

Calculated formation energy ... 19.8 kJ per mole of atoms
E_tot ... -4.03 eV per atom

***

Entry from Alexandria: a relaxed Sn2GePb crystal (PBE).

Geometry as CIF:
```
data_Sn2GePb
_cell_length_a 4.965
_cell_length_b 4.965
_cell_length_c 4.356
_cell_angle_alpha 90.00
_cell_angle_beta 90.00
_cell_angle_gamma 90.00
_symmetry_space_group_name_H-M 'P 4/m m m'
_symmetry_Int_Tables_number 123
_symmetry_space_group_name_Hall '-P 4 2'
loop_
_atom_site_label
_atom_site_type_symbol
_atom_site_fract_x
_atom_site_fract_y
_atom_site_fract_z
Sn1 Sn 0.000 0.500 0.000
Ge1 Ge 0.000 0.000 0.500
Pb1 Pb 0.500 0.500 0.500
```

Calculated formation energy ... 16.0 kJ per mole of atoms
E_tot ... -3.92 eV per atom

***

Entry from Alexandria: a relaxed Sn2GePb crystal (PBE).

Geometry as CIF:
```
data_Sn2GePb
_cell_length_a 3.710
_cell_length_b 3.710
_cell_length_c 7.782
_cell_angle_alpha 90.00
_cell_angle_beta 90.00
_cell_angle_gamma 90.00
_symmetry_space_group_name_H-M 'P 4/m m m'
_symmetry_Int_Tables_number 123
_symmetry_space_group_name_Hall '-P 4 2'
loop_
_atom_site_label
_atom_site_type_symbol
_atom_site_fract_x
_atom_site_fract_y
_atom_site_fract_z
Sn1 Sn 0.000 0.000 0.208
Ge1 Ge 0.500 0.500 0.000
Pb1 Pb 0.500 0.500 0.500
```

Calculated formation energy ... 12.2 kJ per mole of atoms
E_tot ... -3.96 eV per atom

***

Entry from Alexandria: a relaxed Sn2GePb crystal (PBE).

Geometry as CIF:
```
data_Sn2GePb
_cell_length_a 7.554
_cell_length_b 7.554
_cell_length_c 7.554
_cell_angle_alpha 90.00
_cell_angle_beta 90.00
_cell_angle_gamma 90.00
_symmetry_space_group_name_H-M 'F m -3 m'
_symmetry_Int_Tables_number 225
_symmetry_space_group_name_Hall '-F 4 2 3'
loop_
_atom_site_label
_atom_site_type_symbol
_atom_site_fract_x
_atom_site_fract_y
_atom_site_fract_z
Sn1 Sn 0.250 0.250 0.250
Ge1 Ge 0.000 0.000 0.000
Pb1 Pb 0.000 0.000 0.500
```

Calculated formation energy ... 19.0 kJ per mole of atoms
E_tot ... -3.89 eV per atom

***

Entry from Alexandria: a relaxed Sn3GePb crystal (PBE).

Geometry as CIF:
```
data_Sn3GePb
_cell_length_a 5.746
_cell_length_b 5.746
_cell_length_c 5.746
_cell_angle_alpha 90.00
_cell_angle_beta 90.00
_cell_angle_gamma 90.00
_symmetry_space_group_name_H-M 'P m -3 m'
_symmetry_Int_Tables_number 221
_symmetry_space_group_name_Hall '-P 4 2 3'
loop_
_atom_site_label
_atom_site_type_symbol
_atom_site_fract_x
_atom_site_fract_y
_atom_site_fract_z
Sn1 Sn 0.000 0.000 0.500
Ge1 Ge 0.500 0.500 0.500
Pb1 Pb 0.000 0.000 0.000
```

Calculated formation energy ... 91.3 kJ per mole of atoms
E_tot ... -3.12 eV per atom

***

Entry from Alexandria: a relaxed TaSnGePb2 crystal (PBE).

Geometry as CIF:
```
data_TaSnGePb2
_cell_length_a 5.715
_cell_length_b 5.715
_cell_length_c 5.127
_cell_angle_alpha 90.00
_cell_angle_beta 90.00
_cell_angle_gamma 90.00
_symmetry_space_group_name_H-M 'P 4/m m m'
_symmetry_Int_Tables_number 123
_symmetry_space_group_name_Hall '-P 4 2'
loop_
_atom_site_label
_atom_site_type_symbol
_atom_site_fract_x
_atom_site_fract_y
_atom_site_fract_z
Ta1 Ta 0.000 0.000 0.000
Sn1 Sn 0.500 0.500 0.500
Ge1 Ge 0.500 0.500 0.000
Pb1 Pb 0.000 0.500 0.500
```

Calculated formation energy ... 152.1 kJ per mole of atoms
E_tot ... -4.00 eV per atom

***

Entry from Alexandria: a relaxed SnGeTe3Pb crystal (PBE).

Geometry as CIF:
```
data_SnGeTe3Pb
_cell_length_a 8.903
_cell_length_b 4.390
_cell_length_c 11.528
_cell_angle_alpha 90.00
_cell_angle_beta 106.87
_cell_angle_gamma 90.00
_symmetry_space_group_name_H-M 'P 1 21/m 1'
_symmetry_Int_Tables_number 11
loop_
_symmetry_equiv_pos_as_xyz
'x,y,z'
'-x,-y,-z'
'-x,y+1/2,-z'
'x,-y+1/2,z'
loop_
_atom_site_label
_atom_site_type_symbol
_atom_site_fract_x
_atom_site_fract_y
_atom_site_fract_z
Sn1 Sn 0.168 0.250 0.123
Ge1 Ge 0.332 0.750 0.389
Te1 Te 0.101 0.250 0.398
Te2 Te 0.187 0.750 0.947
Te3 Te 0.446 0.750 0.639
Pb1 Pb 0.179 0.250 0.676
```

Formation energy (no corrections) ... -170 meV per atom
E_tot ... -3.80 eV per atom

***

Entry from Alexandria: a relaxed Sn2GeTePb crystal (PBE).

Geometry as CIF:
```
data_Sn2GeTePb
_cell_length_a 5.448
_cell_length_b 5.448
_cell_length_c 5.659
_cell_angle_alpha 90.00
_cell_angle_beta 90.00
_cell_angle_gamma 90.00
_symmetry_space_group_name_H-M 'P 4/m m m'
_symmetry_Int_Tables_number 123
_symmetry_space_group_name_Hall '-P 4 2'
loop_
_atom_site_label
_atom_site_type_symbol
_atom_site_fract_x
_atom_site_fract_y
_atom_site_fract_z
Sn1 Sn 0.000 0.500 0.000
Ge1 Ge 0.000 0.000 0.000
Te1 Te 0.500 0.500 0.500
Pb1 Pb 0.000 0.000 0.500
```

Formation energy (no corrections) ... 358 meV per atom
E_tot ... -3.54 eV per atom

***

Entry from Alexandria: a relaxed Sn2GeTe6Pb3 crystal (PBE).

Geometry as CIF:
```
data_Sn2GeTe6Pb3
_cell_length_a 19.798
_cell_length_b 4.530
_cell_length_c 9.103
_cell_angle_alpha 90.00
_cell_angle_beta 103.54
_cell_angle_gamma 90.00
_symmetry_space_group_name_H-M 'C 1 2/m 1'
_symmetry_Int_Tables_number 12
loop_
_symmetry_equiv_pos_as_xyz
'x,y,z'
'-x,-y,-z'
'-x,y,-z'
'x,-y,z'
'x+1/2,y+1/2,z'
'-x+1/2,-y+1/2,-z'
'-x+1/2,y+1/2,-z'
'x+1/2,-y+1/2,z'
loop_
_atom_site_label
_atom_site_type_symbol
_atom_site_fract_x
_atom_site_fract_y
_atom_site_fract_z
Sn1 Sn 0.165 0.000 0.331
Ge1 Ge 0.000 0.500 0.000
Te1 Te 0.000 0.000 0.232
Te2 Te 0.159 0.500 0.085
Te3 Te 0.168 0.500 0.579
Pb1 Pb 0.000 0.500 0.500
Pb2 Pb 0.168 0.000 0.835
```

Formation energy (no corrections) ... -299 meV per atom
E_tot ... -3.85 eV per atom

***

Entry from Alexandria: a relaxed SnGeTe4Pb2 crystal (PBE).

Geometry as CIF:
```
data_SnGeTe4Pb2
_cell_length_a 7.810
_cell_length_b 4.508
_cell_length_c 7.849
_cell_angle_alpha 90.00
_cell_angle_beta 109.34
_cell_angle_gamma 90.00
_symmetry_space_group_name_H-M 'P 1 2/m 1'
_symmetry_Int_Tables_number 10
loop_
_symmetry_equiv_pos_as_xyz
'x,y,z'
'-x,-y,-z'
'-x,y,-z'
'x,-y,z'
loop_
_atom_site_label
_atom_site_type_symbol
_atom_site_fract_x
_atom_site_fract_y
_atom_site_fract_z
Sn1 Sn 0.000 0.000 0.000
Ge1 Ge 0.500 0.500 0.000
Te1 Te 0.253 0.500 0.236
Te2 Te 0.265 0.000 0.770
Pb1 Pb 0.000 0.500 0.500
Pb2 Pb 0.500 0.000 0.500
```

Formation energy (no corrections) ... -275 meV per atom
E_tot ... -3.85 eV per atom

***

Entry from Alexandria: a relaxed TlSnGePb crystal (PBE).

Geometry as CIF:
```
data_TlSnGePb
_cell_length_a 7.622
_cell_length_b 7.622
_cell_length_c 7.622
_cell_angle_alpha 90.00
_cell_angle_beta 90.00
_cell_angle_gamma 90.00
_symmetry_space_group_name_H-M 'F -4 3 m'
_symmetry_Int_Tables_number 216
_symmetry_space_group_name_Hall 'F -4 2 3'
loop_
_atom_site_label
_atom_site_type_symbol
_atom_site_fract_x
_atom_site_fract_y
_atom_site_fract_z
Tl1 Tl 0.000 0.000 0.000
Sn1 Sn 0.250 0.250 0.750
Ge1 Ge 0.000 0.000 0.500
Pb1 Pb 0.250 0.250 0.250
```

Calculated formation energy ... 18.7 kJ per mole of atoms
E_tot ... -3.48 eV per atom

***

Entry from Alexandria: a relaxed SrGePb2 crystal (PBE).

Geometry as CIF:
```
data_SrGePb2
_cell_length_a 8.749
_cell_length_b 8.749
_cell_length_c 6.633
_cell_angle_alpha 90.00
_cell_angle_beta 90.00
_cell_angle_gamma 90.00
_symmetry_space_group_name_H-M 'I -4 2 d'
_symmetry_Int_Tables_number 122
_symmetry_space_group_name_Hall 'I -4 2bw'
loop_
_atom_site_label
_atom_site_type_symbol
_atom_site_fract_x
_atom_site_fract_y
_atom_site_fract_z
Sr1 Sr 0.000 0.000 0.000
Ge1 Ge 0.000 0.000 0.500
Pb1 Pb 0.194 0.750 0.625
```

Calculated formation energy ... -19.9 kJ per mole of atoms
E_tot ... -3.64 eV per atom

***

Entry from Alexandria: a relaxed SrGePb2 crystal (PBE).

Geometry as CIF:
```
data_SrGePb2
_cell_length_a 4.851
_cell_length_b 4.851
_cell_length_c 4.916
_cell_angle_alpha 90.00
_cell_angle_beta 90.00
_cell_angle_gamma 90.00
_symmetry_space_group_name_H-M 'P 4/m m m'
_symmetry_Int_Tables_number 123
_symmetry_space_group_name_Hall '-P 4 2'
loop_
_atom_site_label
_atom_site_type_symbol
_atom_site_fract_x
_atom_site_fract_y
_atom_site_fract_z
Sr1 Sr 0.000 0.000 0.000
Ge1 Ge 0.500 0.500 0.000
Pb1 Pb 0.000 0.500 0.500
```

Calculated formation energy ... -23.8 kJ per mole of atoms
E_tot ... -3.68 eV per atom

***

Entry from Alexandria: a relaxed Sr2Ge2Pb crystal (PBE).

Geometry as CIF:
```
data_Sr2Ge2Pb
_cell_length_a 9.339
_cell_length_b 9.339
_cell_length_c 3.479
_cell_angle_alpha 90.00
_cell_angle_beta 90.00
_cell_angle_gamma 90.00
_symmetry_space_group_name_H-M 'P 4/m b m'
_symmetry_Int_Tables_number 127
_symmetry_space_group_name_Hall '-P 4 2ab'
loop_
_atom_site_label
_atom_site_type_symbol
_atom_site_fract_x
_atom_site_fract_y
_atom_site_fract_z
Sr1 Sr 0.131 0.369 0.000
Ge1 Ge 0.173 0.673 0.500
Pb1 Pb 0.000 0.000 0.000
```

Calculated formation energy ... -13.7 kJ per mole of atoms
E_tot ... -3.40 eV per atom

***

Entry from Alexandria: a relaxed Sr2Ge2Pb crystal (PBE).

Geometry as CIF:
```
data_Sr2Ge2Pb
_cell_length_a 7.879
_cell_length_b 7.879
_cell_length_c 4.718
_cell_angle_alpha 90.00
_cell_angle_beta 90.00
_cell_angle_gamma 90.00
_symmetry_space_group_name_H-M 'P 4/m b m'
_symmetry_Int_Tables_number 127
_symmetry_space_group_name_Hall '-P 4 2ab'
loop_
_atom_site_label
_atom_site_type_symbol
_atom_site_fract_x
_atom_site_fract_y
_atom_site_fract_z
Sr1 Sr 0.179 0.321 0.000
Ge1 Ge 0.113 0.613 0.500
Pb1 Pb 0.000 0.000 0.500
```

Calculated formation energy ... -50.9 kJ per mole of atoms
E_tot ... -3.79 eV per atom

***

Entry from Alexandria: a relaxed Sr2Ge2Pb3 crystal (PBE).

Geometry as CIF:
```
data_Sr2Ge2Pb3
_cell_length_a 4.074
_cell_length_b 22.537
_cell_length_c 4.618
_cell_angle_alpha 90.00
_cell_angle_beta 90.00
_cell_angle_gamma 90.00
_symmetry_space_group_name_H-M 'C m m m'
_symmetry_Int_Tables_number 65
_symmetry_space_group_name_Hall '-C 2 2'
loop_
_atom_site_label
_atom_site_type_symbol
_atom_site_fract_x
_atom_site_fract_y
_atom_site_fract_z
Sr1 Sr 0.000 0.169 0.000
Ge1 Ge 0.000 0.284 0.500
Pb1 Pb 0.000 0.000 0.000
Pb2 Pb 0.000 0.425 0.500
```

Calculated formation energy ... -35.1 kJ per mole of atoms
E_tot ... -3.75 eV per atom

***

Entry from Alexandria: a relaxed SrGe2Pb2 crystal (PBE).

Geometry as CIF:
```
data_SrGe2Pb2
_cell_length_a 5.170
_cell_length_b 5.170
_cell_length_c 11.674
_cell_angle_alpha 90.00
_cell_angle_beta 90.00
_cell_angle_gamma 90.00
_symmetry_space_group_name_H-M 'I 4/m m m'
_symmetry_Int_Tables_number 139
_symmetry_space_group_name_Hall '-I 4 2'
loop_
_atom_site_label
_atom_site_type_symbol
_atom_site_fract_x
_atom_site_fract_y
_atom_site_fract_z
Sr1 Sr 0.000 0.000 0.000
Ge1 Ge 0.000 0.500 0.250
Pb1 Pb 0.000 0.000 0.368
```

Calculated formation energy ... -3.6 kJ per mole of atoms
E_tot ... -3.70 eV per atom